1.
The following is a PBE calculation of a relaxed structure of SrH2Cl2, from the Alexandria database.

abc: 3.7603 3.7603 9.0355
angles: 77.99 77.99 90.00
Each line ends with the local moment (μB).
Positions (direct):
H (0.7500, 0.2500, 0.5000)  0.39
Cl (0.5917, 0.5917, 0.8167)  0.02
Cl (0.4083, 0.4083, 0.1833)  0.02
H (0.2500, 0.7500, 0.5000)  0.39
Sr (0.0000, 0.0000, 0.0000)  0.00

Summary:
N(E_F) = 0.00 states/eV per cell
crystal system = tetragonal
ΔE to the lowest computed polymorph = 1060 meV per atom

2.
The following is a PBE calculation of a relaxed structure of CaGa3Ag, from the Alexandria database.

abc: 6.5950 6.5953 5.8512
angles: 90.00 90.00 54.39
Positions (direct):
Ga (0.5278, 0.2355, 0.3024)
Ga (0.4194, 0.6223, 0.0524)
Ca (0.0310, 0.2339, 0.0524)
Ga (0.1413, 0.3434, 0.5524)
Ga (0.5278, 0.2355, 0.8024)
Ag (0.6381, 0.8411, 0.0524)
Ga (0.0328, 0.7302, 0.8024)
Ga (0.0328, 0.7302, 0.3024)
Ag (0.9225, 0.1246, 0.5524)
Ca (0.5296, 0.7318, 0.5524)

Summary:
N(E_F) = 2.17 states/eV per cell
crystal system = orthorhombic
formation energy from the elements = -353.4 meV per atom

3.
The following is a PBE calculation of a relaxed structure of Pr3DyIr, from the Alexandria database.

abc: 5.6485 5.6485 5.6485
angles: 90.00 90.00 90.00
Positions (direct):
Pr (0.0000, 0.5000, 0.0000)
Dy (0.5000, 0.5000, 0.5000)
Pr (0.0000, 0.0000, 0.5000)
Ir (0.0000, 0.0000, 0.0000)
Pr (0.5000, 0.0000, 0.0000)

Summary:
N(E_F) = 9.13 states/eV per cell
crystal system = cubic
formation energy from the elements = -92.7 meV per atom

4.
The following is a PBE calculation of a relaxed structure of PdS2BrO, from the Alexandria database.

abc: 4.9389 3.6670 4.9389
angles: 90.00 90.00 90.00
Positions (direct):
Br (0.0000, 0.0000, 0.0000)
S (0.0000, 0.0000, 0.5000)
O (0.0000, 0.5000, 0.0000)
S (0.5000, 0.0000, 0.0000)
Pd (0.5000, 0.5000, 0.5000)

Summary:
N(E_F) = 4.29 states/eV per cell
crystal system = tetragonal
uncorrected formation energy = 987 meV per atom

5.
The following is a PBE calculation of a relaxed structure of Cs2CdAuCl, from the Alexandria database.

abc: 6.7675 6.7675 5.3642
angles: 90.00 90.00 90.00
Positions (direct):
Cd (0.0000, 0.0000, 0.5000)
Cl (0.5000, 0.5000, 0.5000)
Au (0.0000, 0.0000, 0.0000)
Cs (0.5000, 0.0000, 0.0000)
Cs (0.0000, 0.5000, 0.0000)

Summary:
N(E_F) = 1.70 states/eV per cell
crystal system = tetragonal
ΔE to the lowest computed polymorph = 196 meV per atom
uncorrected formation energy = -722 meV per atom

6.
The following is a PBE calculation of a relaxed structure of TlFe2Ir, from the Alexandria database.

abc: 2.8359 2.8359 8.8539
angles: 90.00 90.00 116.12
Each line ends with the local moment (μB).
Positions (direct):
Fe (0.0000, 0.0000, 0.0310)  2.67
Fe (0.5000, 0.5000, 0.2407)  2.83
Tl (0.5000, 0.5000, 0.7565)  -0.02
Ir (0.0000, 0.0000, 0.4718)  0.31

Summary:
N(E_F) = 3.20 states/eV per cell
crystal system = orthorhombic
ΔE to the lowest computed polymorph = 180 meV per atom
formation energy from the elements = 516.7 meV per atom